# 1
# TbLuAlNi

A geometry-optimized TbLuAlNi structure (GGA-PBE, Alexandria via LeMat-Bulk). Values from VASP.

Calculated values
Total DFT energy (no corrections) (eV/cell): -20.0
Density of states at the Fermi level (states/eV per cell): 3.5
ΔE_f (kJ per mole of atoms): -32.3
Total magnetization (μB per formula unit): 0.0

Structure (Quantum ESPRESSO input):
```
&SYSTEM
  ibrav = 0, nat = 4, ntyp = 4
/
ATOMIC_SPECIES
Ni 58.69 Ni.upf
Lu 174.97 Lu.upf
Tb 158.93 Tb.upf
Al 26.98 Al.upf
CELL_PARAMETERS angstrom
4.925 0.000 0.000
2.463 4.265 0.000
2.463 1.422 4.021
ATOMIC_POSITIONS crystal
Ni 0.000 0.000 0.000
Lu 0.250 0.250 0.250
Tb 0.750 0.750 0.750
Al 0.500 0.500 0.500
```



# 2
# LaBePd2Pt

A geometry-optimized LaBePd2Pt structure (GGA-PBE, Alexandria via LeMat-Bulk). Values from VASP.

Calculated values
Total DFT energy (no corrections) (eV/cell): -28.9
Density of states at the Fermi level (states/eV per cell): 2.5
ΔE_f (kJ per mole of atoms): -73.2
Total magnetization (μB per formula unit): 0.0

Structure (Quantum ESPRESSO input):
```
&SYSTEM
  ibrav = 0, nat = 5, ntyp = 4
/
ATOMIC_SPECIES
Be 9.01 Be.upf
Pd 106.42 Pd.upf
Pt 195.08 Pt.upf
La 138.91 La.upf
CELL_PARAMETERS angstrom
4.442 0.000 0.000
0.000 4.442 0.000
0.000 0.000 4.501
ATOMIC_POSITIONS crystal
Be 0.000 0.000 0.000
Pd 0.000 0.500 0.000
Pd 0.500 0.000 0.000
Pt 0.000 0.000 0.500
La 0.500 0.500 0.500
```



# 3
# RbUVCl6

A geometry-optimized RbUVCl6 structure (GGA-PBE, Alexandria via LeMat-Bulk). Values from VASP.

Calculated values
Total DFT energy (no corrections) (eV/cell): -93.4
Formation energy from raw total energies (meV/atom): -1581.0
Density of states at the Fermi level (states/eV per cell): 3.6
Total magnetization (μB per formula unit): 6.0

Structure (Quantum ESPRESSO input):
```
&SYSTEM
  ibrav = 0, nat = 18, ntyp = 4
/
ATOMIC_SPECIES
Rb 85.47 Rb.upf
U 238.03 U.upf
V 50.94 V.upf
Cl 35.45 Cl.upf
CELL_PARAMETERS angstrom
6.814 0.000 0.000
-3.407 5.901 0.000
0.000 0.000 14.800
ATOMIC_POSITIONS crystal
Rb 0.000 0.000 0.000
Rb 0.000 0.000 0.500
U 0.667 0.333 0.250
U 0.333 0.667 0.750
V 0.333 0.667 0.250
V 0.667 0.333 0.750
Cl 0.621 0.649 0.150
Cl 0.028 0.379 0.150
Cl 0.379 0.028 0.650
Cl 0.972 0.621 0.850
Cl 0.351 0.379 0.350
Cl 0.028 0.649 0.350
Cl 0.649 0.028 0.850
Cl 0.621 0.972 0.350
Cl 0.972 0.351 0.650
Cl 0.351 0.972 0.150
Cl 0.649 0.621 0.650
Cl 0.379 0.351 0.850
```



Repeat the second record exactly.
# LaBePd2Pt

A geometry-optimized LaBePd2Pt structure (GGA-PBE, Alexandria via LeMat-Bulk). Values from VASP.

Calculated values
Total DFT energy (no corrections) (eV/cell): -28.9
Density of states at the Fermi level (states/eV per cell): 2.5
ΔE_f (kJ per mole of atoms): -73.2
Total magnetization (μB per formula unit): 0.0

Structure (Quantum ESPRESSO input):
```
&SYSTEM
  ibrav = 0, nat = 5, ntyp = 4
/
ATOMIC_SPECIES
Be 9.01 Be.upf
Pd 106.42 Pd.upf
Pt 195.08 Pt.upf
La 138.91 La.upf
CELL_PARAMETERS angstrom
4.442 0.000 0.000
0.000 4.442 0.000
0.000 0.000 4.501
ATOMIC_POSITIONS crystal
Be 0.000 0.000 0.000
Pd 0.000 0.500 0.000
Pd 0.500 0.000 0.000
Pt 0.000 0.000 0.500
La 0.500 0.500 0.500
```